[1]
Material: YMgCd2
Method: DFT, PBE-GGA
State: optimized geometry Values from VASP.

Quantum ESPRESSO input file:
```
&SYSTEM
  ibrav = 0, nat = 4, ntyp = 3
/
ATOMIC_SPECIES
Y 88.91 Y.upf
Mg 24.30 Mg.upf
Cd 112.41 Cd.upf
ATOMIC_POSITIONS angstrom
Y 0.000 0.000 0.000
Mg 2.494 2.494 0.000
Cd 0.000 2.494 1.951
Cd 2.494 0.000 1.951
CELL_PARAMETERS angstrom
4.988 0.000 0.000
0.000 4.988 0.000
0.000 0.000 3.902
```

Summary:
* energy: -10.9 eV/cell
* SG: No. 123
* DOS(E_F): 3.15 states/eV/f.u.

***

[2]
Material: Ce6Ge5Cl
Method: DFT, PBE-GGA
State: optimized geometry Values from VASP.

Quantum ESPRESSO input file:
```
&SYSTEM
  ibrav = 0, nat = 12, ntyp = 3
/
ATOMIC_SPECIES
Ce 140.12 Ce.upf
Ge 72.64 Ge.upf
Cl 35.45 Cl.upf
ATOMIC_POSITIONS angstrom
Ce -0.004 2.121 5.144
Ce 1.208 0.000 1.724
Ce -0.004 -2.121 5.144
Ce 4.886 2.121 1.742
Ce 3.674 0.000 5.163
Ce 4.886 -2.121 1.742
Ge -1.217 0.000 3.443
Ge 3.658 4.213 0.000
Ge 2.441 2.077 3.443
Ge 2.441 -2.077 3.443
Ge 3.658 -4.213 0.000
Cl 3.658 0.000 0.000
CELL_PARAMETERS angstrom
3.658 -6.332 0.000
3.658 6.332 0.000
-2.433 0.000 6.886
```

Summary:
* energy: -70.8 eV/cell
* SG: No. 12
* ΔE_f (raw): -0.8569 eV/atom
* DOS(E_F): 20.88 states/eV/f.u.

***

[3]
Material: VZn
Method: DFT, PBE-GGA
State: optimized geometry Values from VASP.

Quantum ESPRESSO input file:
```
&SYSTEM
  ibrav = 0, nat = 8, ntyp = 2
/
ATOMIC_SPECIES
V 50.94 V.upf
Zn 65.41 Zn.upf
ATOMIC_POSITIONS angstrom
V 0.000 0.000 0.000
V 0.000 2.500 2.500
V 2.500 0.000 2.500
V 2.500 2.500 0.000
Zn 0.000 0.000 2.500
Zn 0.000 2.500 0.000
Zn 2.500 0.000 0.000
Zn 2.500 2.500 2.500
CELL_PARAMETERS angstrom
5.001 0.000 0.000
0.000 5.001 0.000
0.000 0.000 5.001
```

Summary:
* energy: -36.0 eV/cell
* SG: No. 225
* DOS(E_F): 1.83 states/eV/f.u.

***

[4]
Material: MnBe2HIr
Method: DFT, PBE-GGA
State: optimized geometry Values from VASP.

Quantum ESPRESSO input file:
```
&SYSTEM
  ibrav = 0, nat = 5, ntyp = 4
/
ATOMIC_SPECIES
Mn 54.94 Mn.upf
Be 9.01 Be.upf
H 1.01 H.upf
Ir 192.22 Ir.upf
ATOMIC_POSITIONS angstrom
Mn 0.000 0.000 0.000
Be 0.000 1.905 1.569
Be 1.905 0.000 1.569
H 0.000 0.000 1.569
Ir 1.905 1.905 0.000
CELL_PARAMETERS angstrom
3.810 0.000 0.000
0.000 3.810 0.000
0.000 0.000 3.139
```

Summary:
* energy: -29.6 eV/cell
* SG: No. 123
* DOS(E_F): 2.18 states/eV/f.u.

***

[5]
Material: KTbPbBr6
Method: DFT, PBE-GGA
State: optimized geometry Values from VASP.

Quantum ESPRESSO input file:
```
&SYSTEM
  ibrav = 0, nat = 18, ntyp = 4
/
ATOMIC_SPECIES
K 39.10 K.upf
Tb 158.93 Tb.upf
Pb 207.20 Pb.upf
Br 79.90 Br.upf
ATOMIC_POSITIONS angstrom
K 0.000 0.000 0.000
K 0.000 0.000 7.145
Tb 0.000 4.410 3.573
Tb 3.819 2.205 10.718
Pb 0.000 4.410 10.718
Pb 3.819 2.205 3.573
Br -1.259 2.479 1.930
Br -2.302 4.285 5.216
Br 1.259 2.479 5.216
Br -1.042 6.466 1.930
Br 2.777 0.149 9.075
Br 1.517 2.330 12.361
Br 2.302 4.285 1.930
Br 1.042 6.466 5.216
Br 4.862 0.149 12.361
Br 2.560 4.136 9.075
Br 6.121 2.330 9.075
Br 5.078 4.136 12.361
CELL_PARAMETERS angstrom
7.638 0.000 0.000
-3.819 6.615 0.000
0.000 0.000 14.290
```

Summary:
* energy: -66.9 eV/cell
* SG: No. 163
* ΔE_f (raw): -1.5545 eV/atom
* DOS(E_F): 0.00 states/eV/f.u.

***

[6]
Material: In3Hg2Bi4
Method: DFT, PBE-GGA
State: optimized geometry Values from VASP.

Quantum ESPRESSO input file:
```
&SYSTEM
  ibrav = 0, nat = 18, ntyp = 3
/
ATOMIC_SPECIES
In 114.82 In.upf
Hg 200.59 Hg.upf
Bi 208.98 Bi.upf
ATOMIC_POSITIONS angstrom
In 12.420 3.654 3.280
In 8.188 1.172 2.356
In 8.392 -1.172 0.170
In 16.652 1.172 4.203
In 16.857 -1.172 2.017
In 12.624 -3.654 1.093
Hg 9.800 3.838 1.684
Hg 15.448 3.838 0.502
Hg 9.596 -3.838 3.871
Hg 15.244 -3.838 2.689
Bi 5.466 1.201 0.552
Bi 11.144 1.193 0.432
Bi 5.262 -1.201 2.738
Bi 14.105 1.193 1.755
Bi 10.940 -1.193 2.618
Bi 19.782 1.201 1.635
Bi 13.900 -1.193 3.941
Bi 19.578 -1.201 3.821
CELL_PARAMETERS angstrom
12.726 -4.929 0.000
12.726 4.929 0.000
-0.408 0.000 4.373
```

Summary:
* energy: -47.5 eV/cell
* SG: No. 15
* DOS(E_F): 4.64 states/eV/f.u.

***

[7]
Material: Mn2CrPt
Method: DFT, PBE-GGA
State: optimized geometry Values from VASP.

Quantum ESPRESSO input file:
```
&SYSTEM
  ibrav = 0, nat = 4, ntyp = 3
/
ATOMIC_SPECIES
Mn 54.94 Mn.upf
Cr 52.00 Cr.upf
Pt 195.08 Pt.upf
ATOMIC_POSITIONS angstrom
Mn 0.000 0.000 0.000
Mn 1.313 1.313 1.692
Cr 1.313 1.313 5.623
Pt 0.000 0.000 3.712
CELL_PARAMETERS angstrom
2.625 0.000 0.000
0.000 2.625 0.000
0.000 0.000 7.405
```

Summary:
* energy: -34.2 eV/cell
* SG: No. 99
* DOS(E_F): 4.36 states/eV/f.u.

***

[8]
Material: TbErCuIr
Method: DFT, PBE-GGA
State: optimized geometry Values from VASP.

Quantum ESPRESSO input file:
```
&SYSTEM
  ibrav = 0, nat = 16, ntyp = 4
/
ATOMIC_SPECIES
Tb 158.93 Tb.upf
Er 167.26 Er.upf
Cu 63.55 Cu.upf
Ir 192.22 Ir.upf
ATOMIC_POSITIONS angstrom
Tb 0.000 0.000 0.000
Tb 0.000 3.438 3.438
Tb 3.438 0.000 3.438
Tb 3.438 3.438 0.000
Er 0.000 0.000 3.438
Er 0.000 3.438 0.000
Er 3.438 0.000 0.000
Er 3.438 3.438 3.438
Cu 1.719 1.719 5.157
Cu 1.719 5.157 1.719
Cu 5.157 1.719 1.719
Cu 5.157 5.157 5.157
Ir 1.719 1.719 1.719
Ir 1.719 5.157 5.157
Ir 5.157 1.719 5.157
Ir 5.157 5.157 1.719
CELL_PARAMETERS angstrom
6.876 0.000 0.000
0.000 6.876 0.000
0.000 0.000 6.876
```

Summary:
* energy: -98.2 eV/cell
* SG: No. 216
* DOS(E_F): 2.71 states/eV/f.u.

***

[9]
Material: TiTeSe
Method: DFT, PBE-GGA
State: optimized geometry Values from VASP.

Quantum ESPRESSO input file:
```
&SYSTEM
  ibrav = 0, nat = 12, ntyp = 3
/
ATOMIC_SPECIES
Ti 47.87 Ti.upf
Te 127.60 Te.upf
Se 78.96 Se.upf
ATOMIC_POSITIONS angstrom
Ti 3.087 0.000 1.363
Ti 1.692 1.819 4.426
Ti 9.090 0.000 4.426
Ti 10.485 1.819 1.363
Te 0.990 1.819 1.711
Te 3.789 0.000 4.079
Te 8.388 0.000 1.711
Te 11.187 1.819 4.079
Se -0.073 0.000 4.657
Se 4.852 1.819 1.132
Se 7.325 1.819 4.657
Se 12.250 0.000 1.132
CELL_PARAMETERS angstrom
14.796 0.000 0.000
0.000 3.639 0.000
-2.619 0.000 5.789
```

Summary:
* energy: -69.0 eV/cell
* SG: No. 12
* ΔE to the lowest computed polymorph: 7 meV/atom
* ΔE_f (raw): -0.9132 eV/atom
* DOS(E_F): 0.84 states/eV/f.u.

***

[10]
Material: SrAcNi4
Method: DFT, PBE-GGA
State: optimized geometry Values from VASP.

Quantum ESPRESSO input file:
```
&SYSTEM
  ibrav = 0, nat = 6, ntyp = 3
/
ATOMIC_SPECIES
Sr 87.62 Sr.upf
Ac 227.00 Ac.upf
Ni 58.69 Ni.upf
ATOMIC_POSITIONS angstrom
Sr 0.000 0.000 0.000
Ac 1.874 1.874 1.874
Ni 4.686 2.810 2.810
Ni 2.810 4.686 2.810
Ni 2.810 2.810 4.686
Ni 4.686 4.686 4.686
CELL_PARAMETERS angstrom
0.000 3.748 3.748
3.748 0.000 3.748
3.748 3.748 0.000
```

Summary:
* energy: -29.4 eV/cell
* SG: No. 216
* ΔE to the lowest computed polymorph: 61 meV/atom
* DOS(E_F): 5.92 states/eV/f.u.

***

[11]
Material: Na2CuO2
Method: DFT, PBE-GGA
State: optimized geometry Values from VASP.

Quantum ESPRESSO input file:
```
&SYSTEM
  ibrav = 0, nat = 10, ntyp = 3
/
ATOMIC_SPECIES
Na 22.99 Na.upf
Cu 63.55 Cu.upf
O 16.00 O.upf
ATOMIC_POSITIONS angstrom
Na 0.000 1.445 0.000
Na 0.000 4.332 0.000
Na 2.886 1.444 0.000
Na 2.886 4.333 0.000
Cu -1.440 0.000 2.167
Cu 1.447 2.889 2.167
O 0.004 1.444 2.167
O 0.004 4.333 2.167
O 2.890 1.444 2.167
O 2.890 4.333 2.167
CELL_PARAMETERS angstrom
5.773 0.000 0.000
0.000 5.777 0.000
-2.879 0.000 4.334
```

Summary:
* energy: -38.5 eV/cell
* SG: No. 12
* ΔE to the lowest computed polymorph: 550 meV/atom
* ΔE_f (raw): -0.5164 eV/atom
* DOS(E_F): 2.27 states/eV/f.u.

***

[12]
Material: Be2AlZn2Ni5
Method: DFT, PBE-GGA
State: optimized geometry Values from VASP.

Quantum ESPRESSO input file:
```
&SYSTEM
  ibrav = 0, nat = 20, ntyp = 4
/
ATOMIC_SPECIES
Be 9.01 Be.upf
Al 26.98 Al.upf
Zn 65.41 Zn.upf
Ni 58.69 Ni.upf
ATOMIC_POSITIONS angstrom
Be 1.013 3.138 0.000
Be 3.138 7.289 0.000
Be 5.164 1.013 0.000
Be 7.289 5.164 0.000
Al 0.000 0.000 0.000
Al 4.151 4.151 0.000
Zn 1.440 5.591 0.000
Zn 2.711 1.440 0.000
Zn 5.591 6.862 0.000
Zn 6.862 2.711 0.000
Ni 0.000 4.151 1.626
Ni 0.622 1.720 1.626
Ni 1.720 7.680 1.626
Ni 2.431 3.529 1.626
Ni 3.529 5.871 1.626
Ni 4.151 0.000 1.626
Ni 4.773 2.431 1.626
Ni 5.871 4.773 1.626
Ni 6.582 0.622 1.626
Ni 7.680 6.582 1.626
CELL_PARAMETERS angstrom
8.302 0.000 0.000
0.000 8.302 0.000
0.000 0.000 3.252
```

Summary:
* energy: -91.2 eV/cell
* SG: No. 127
* DOS(E_F): 4.40 states/eV/f.u.

***

> Which of these has the lowest DOS(E_F)?

KTbPbBr6